[1]
# Tb3CoTe | the Alexandria database | GGA-PBE | relaxed
data_Tb3CoTe
_space_group_name_H-M_alt 'C m c 21'
_space_group_IT_number 36
_cell_length_a 4.0497
_cell_length_b 16.0565
_cell_length_c 8.4125
_cell_angle_alpha 90.00
_cell_angle_beta 90.00
_cell_angle_gamma 90.00
loop_
_space_group_symop_operation_xyz
'x,y,z'
'-x,-y,z+1/2'
'-x,y,z'
'x,-y,z+1/2'
'x+1/2,y+1/2,z'
'-x+1/2,-y+1/2,z+1/2'
'-x+1/2,y+1/2,z'
'x+1/2,-y+1/2,z+1/2'
loop_
_atom_site_label
_atom_site_type_symbol
_atom_site_fract_x
_atom_site_fract_y
_atom_site_fract_z
Tb1 Tb 0.0000 0.0698 0.0000
Tb2 Tb 0.0000 0.2285 0.5794
Tb3 Tb 0.0000 0.3943 0.8327
Co1 Co 0.0000 0.1861 0.2201
Te1 Te 0.0000 0.4234 0.1976
# Energy above the most stable polymorph in this dataset, meV per atom: 154.6
# E_tot, eV per atom: -5.316
# Fermi-level density of states, states/eV/f.u.: 2.869
# E_form (uncorrected), eV/atom: -0.4882



[2]
# Tb5Co2Te | the Alexandria database | GGA-PBE | relaxed
data_Tb5Co2Te
_space_group_name_H-M_alt 'I 4/m c m'
_space_group_IT_number 140
_space_group_name_Hall '-I 4 2c'
_cell_length_a 7.6326
_cell_length_b 7.6326
_cell_length_c 13.4775
_cell_angle_alpha 90.00
_cell_angle_beta 90.00
_cell_angle_gamma 90.00
loop_
_atom_site_label
_atom_site_type_symbol
_atom_site_fract_x
_atom_site_fract_y
_atom_site_fract_z
Tb1 Tb 0.0000 0.0000 0.0000
Tb2 Tb 0.1556 0.3444 0.1323
Co1 Co 0.1386 0.3614 0.5000
Te1 Te 0.0000 0.0000 0.2500
# E_tot, eV per atom: -5.518
# Fermi-level density of states, states/eV/f.u.: 8.315
# E_form (uncorrected), eV/atom: -0.4545



[3]
# Tb5CoTe4 | the Alexandria database | GGA-PBE | relaxed
data_Tb5CoTe4
_space_group_name_H-M_alt 'I 4/m'
_space_group_IT_number 87
_space_group_name_Hall '-I 4'
_cell_length_a 9.6689
_cell_length_b 9.6689
_cell_length_c 6.1335
_cell_angle_alpha 90.00
_cell_angle_beta 90.00
_cell_angle_gamma 90.00
loop_
_atom_site_label
_atom_site_type_symbol
_atom_site_fract_x
_atom_site_fract_y
_atom_site_fract_z
Tb1 Tb 0.0000 0.0000 0.0000
Tb2 Tb 0.0909 0.2531 0.5000
Co1 Co 0.0000 0.0000 0.5000
Te1 Te 0.0876 0.3102 0.0000
# E_tot, eV per atom: -5.367
# Fermi-level density of states, states/eV/f.u.: 9.283
# E_form (uncorrected), eV/atom: -1.0849



[4]
# Tb4CoTe | the Alexandria database | GGA-PBE | relaxed
data_Tb4CoTe
_space_group_name_H-M_alt 'P n m a'
_space_group_IT_number 62
_cell_length_a 8.2940
_cell_length_b 3.8744
_cell_length_c 19.4912
_cell_angle_alpha 90.00
_cell_angle_beta 90.00
_cell_angle_gamma 90.00
loop_
_space_group_symop_operation_xyz
'x,y,z'
'-x,-y,-z'
'-x+1/2,-y,z+1/2'
'x+1/2,y,-z+1/2'
'x+1/2,-y+1/2,-z+1/2'
'-x+1/2,y+1/2,z+1/2'
'-x,y+1/2,-z'
'x,-y+1/2,z'
loop_
_atom_site_label
_atom_site_type_symbol
_atom_site_fract_x
_atom_site_fract_y
_atom_site_fract_z
Tb1 Tb 0.0238 0.2500 0.0676
Tb2 Tb 0.0464 0.7500 0.2173
Tb3 Tb 0.1343 0.7500 0.6464
Tb4 Tb 0.1455 0.7500 0.4538
Co1 Co 0.2278 0.2500 0.5521
Te1 Te 0.2487 0.2500 0.3141
# Energy above the most stable polymorph in this dataset, meV per atom: 0.0
# E_tot, eV per atom: -5.337
# Fermi-level density of states, states/eV/f.u.: 4.558
# E_form (uncorrected), eV/atom: -0.5418



[5]
# Tb8CoTe2 | the Alexandria database | GGA-PBE | relaxed
data_Tb8CoTe2
_space_group_name_H-M_alt 'C 1 2/m 1'
_space_group_IT_number 12
_cell_length_a 14.6305
_cell_length_b 7.0203
_cell_length_c 6.4437
_cell_angle_alpha 90.00
_cell_angle_beta 97.98
_cell_angle_gamma 90.00
loop_
_space_group_symop_operation_xyz
'x,y,z'
'-x,-y,-z'
'-x,y,-z'
'x,-y,z'
'x+1/2,y+1/2,z'
'-x+1/2,-y+1/2,-z'
'-x+1/2,y+1/2,-z'
'x+1/2,-y+1/2,z'
loop_
_atom_site_label
_atom_site_type_symbol
_atom_site_fract_x
_atom_site_fract_y
_atom_site_fract_z
Tb1 Tb 0.0818 0.2409 0.3172
Tb2 Tb 0.0977 0.5000 0.8747
Tb3 Tb 0.1632 0.0000 0.8640
Co1 Co 0.0000 0.0000 0.0000
Te1 Te 0.2392 0.5000 0.5843
# E_tot, eV per atom: -4.961
# Fermi-level density of states, states/eV/f.u.: 11.975
# E_form (uncorrected), eV/atom: -0.3765



[6]
# Tb3CoTe2 | the Alexandria database | GGA-PBE | relaxed
data_Tb3CoTe2
_space_group_name_H-M_alt 'C m m m'
_space_group_IT_number 65
_space_group_name_Hall '-C 2 2'
_cell_length_a 5.9930
_cell_length_b 14.6798
_cell_length_c 4.0511
_cell_angle_alpha 90.00
_cell_angle_beta 90.00
_cell_angle_gamma 90.00
loop_
_atom_site_label
_atom_site_type_symbol
_atom_site_fract_x
_atom_site_fract_y
_atom_site_fract_z
Tb1 Tb 0.0000 0.0000 0.0000
Tb2 Tb 0.0000 0.3793 0.5000
Co1 Co 0.0000 0.5000 0.0000
Te1 Te 0.0000 0.1624 0.5000
# E_tot, eV per atom: -5.293
# Fermi-level density of states, states/eV/f.u.: 6.419
# E_form (uncorrected), eV/atom: -0.7460



[7]
# Tb2CoTe | the Alexandria database | GGA-PBE | relaxed
data_Tb2CoTe
_space_group_name_H-M_alt 'R -3 m'
_space_group_IT_number 166
_space_group_name_Hall '-R 3 2"'
_cell_length_a 4.0241
_cell_length_b 4.0241
_cell_length_c 21.8204
_cell_angle_alpha 90.00
_cell_angle_beta 90.00
_cell_angle_gamma 120.00
loop_
_atom_site_label
_atom_site_type_symbol
_atom_site_fract_x
_atom_site_fract_y
_atom_site_fract_z
Tb1 Tb 0.0000 0.0000 0.2356
Co1 Co 0.0000 0.0000 0.5000
Te1 Te 0.0000 0.0000 0.0000
# E_tot, eV per atom: -5.493
# Fermi-level density of states, states/eV/f.u.: 2.664
# E_form (uncorrected), eV/atom: -0.6162



[8]
# Tb5CoTe2 | the Alexandria database | GGA-PBE | relaxed
data_Tb5CoTe2
_space_group_name_H-M_alt 'P b a m'
_space_group_IT_number 55
_cell_length_a 8.2212
_cell_length_b 13.0532
_cell_length_c 4.0611
_cell_angle_alpha 90.00
_cell_angle_beta 90.00
_cell_angle_gamma 90.00
loop_
_space_group_symop_operation_xyz
'x,y,z'
'-x,-y,-z'
'-x,-y,z'
'x,y,-z'
'x+1/2,-y+1/2,-z'
'-x+1/2,y+1/2,z'
'-x+1/2,y+1/2,-z'
'x+1/2,-y+1/2,z'
loop_
_atom_site_label
_atom_site_type_symbol
_atom_site_fract_x
_atom_site_fract_y
_atom_site_fract_z
Tb1 Tb 0.0000 0.0000 0.0000
Tb2 Tb 0.1603 0.3186 0.0000
Tb3 Tb 0.1671 0.5792 0.5000
Co1 Co 0.0000 0.5000 0.0000
Te1 Te 0.0414 0.8190 0.5000
# Energy above the most stable polymorph in this dataset, meV per atom: 0.0
# E_tot, eV per atom: -5.305
# Fermi-level density of states, states/eV/f.u.: 7.603
# E_form (uncorrected), eV/atom: -0.7371



Question: Which of these has the lowest E_form (uncorrected)?
Answer: Tb5CoTe4



Question: What is the Fermi-level density of states in the seventh record?
Answer: 2.664 states/eV/f.u.



Question: What is the formula in the second record?
Answer: Tb5Co2Te